Record 1
LiNiBr2 | SCAN | PBEsol geometry

a b c (Å): 3.6623 3.6623 5.1483
angles (deg): 90.00 90.00 90.00
Fractional coordinates of all 4 atoms:
Li1 0.0000 0.0000 0.0000
Ni1 0.5000 0.5000 0.5000
Br1 0.0000 0.0000 0.5000
Br2 0.5000 0.5000 0.0000

Summary:
The calculation puts the volume at 69 Å³/cell. As for the space group: P4/mmm.

=====

Record 2
Li2OsBr2 | SCAN | PBEsol geometry

a b c (Å): 5.4947 5.4947 5.4947
angles (deg): 125.89 125.89 80.07
Fractional coordinates of all 5 atoms:
Li1 0.1804 0.1804 0.0000
Li2 0.8196 0.8196 0.0000
Os1 0.5000 0.5000 0.0000
Br1 0.2500 0.7500 0.5000
Br2 0.7500 0.2500 0.5000

Summary:
The calculation puts the volume at 105 Å³/cell. As for the space group: I4/mmm.

=====

Record 3
Li3OsBr | SCAN | PBEsol geometry

a b c (Å): 4.5699 4.5699 4.5699
angles (deg): 90.00 90.00 90.00
Fractional coordinates of all 5 atoms:
Li1 0.0000 0.0000 0.5000
Li2 0.0000 0.5000 0.0000
Li3 0.5000 0.0000 0.0000
Os1 0.5000 0.5000 0.5000
Br1 0.0000 0.0000 0.0000

Summary:
The calculation puts the volume at 95 Å³/cell. As for the space group: Pm-3m.

=====

These records have electronic total energy values of -1.1118, -1.6784, -1.4058 Ry per atom, in the order they appear.